AcSmInRh | GGA-PBE | optimized geometry

```
AcSmInRh
1.0
-2.0324 4.1415 2.7640
-5.1128 -0.1271 1.6629
-1.1128 -0.5469 5.2330
Ac Rh Sm In
1 1 1 1
direct
0.0000 0.0000 0.0000
0.7500 0.7500 0.7500
0.5000 0.5000 0.5000
0.2500 0.2500 0.2500
```

Output
* calculated total energy: -5.11 eV/atom
* Fermi-level density of states: 0.80 states/eV per atom
* ΔH_f (0 K): -0.379 eV/atom
* crystal system: cubic
* calculated volume: 110.0 Å³/cell